Ca2CeZn3 | GGA-PBE | optimized geometry

abc: 3.6185 3.6185 11.2183
angles: 90.00 90.00 90.00
Site moments in Bohr magnetons follow the coordinates.
Atoms (fractional coordinates):
Ce 0.5000 0.5000 0.5000  0.69
Zn 0.0000 0.0000 0.6635  0.00
Zn 0.0000 0.0000 0.0000  0.00
Zn 0.0000 0.0000 0.3365  0.00
Ca 0.5000 0.5000 0.8338  -0.01
Ca 0.5000 0.5000 0.1662  -0.01

Calculated values
For the density of states at the Fermi level, the calculation gives 7.4 states/eV per cell. Its total energy is -2.513 eV per atom. The energy of formation is -219.9 meV/atom. The value obtained for the distance to the lowest polymorph of the same formula is 0.00 eV/f.u. The space group is P4/mmm, No. 123. The value obtained for the size of the total moment is 0.84 μB/cell.